Run w
{"formula": "Ga3BBr", "functional": "GGA-PBE", "state": "optimized geometry", "cell": [[4.575, 0.000, 0.000], [0.000, 4.575, 0.000], [0.000, 0.000, 4.575]], "species": ["Ga", "Ga", "Ga", "Br", "B"], "fractional_positions": [[0.000, 0.500, 0.000], [0.500, 0.000, 0.000], [0.000, 0.000, 0.500], [0.500, 0.500, 0.500], [0.000, 0.000, 0.000]], "spacegroup": "Pm-3m", "rho_g_cm3": 5.2, "crystal_system": "cubic", "volume_a3_per_atom": 19.15}

***

Run x
{"formula": "Ga3BBr", "functional": "GGA-PBE", "state": "optimized geometry", "cell": [[-0.212, 1.230, 5.447], [0.442, -5.430, 1.244], [5.567, 0.478, 0.108]], "species": ["Ga", "Ga", "Ga", "B", "Br"], "fractional_positions": [[0.000, 0.000, 0.500], [0.500, 0.000, 0.000], [0.000, 0.500, 0.000], [0.500, 0.500, 0.500], [0.000, 0.000, 0.000]], "spacegroup": "Pm-3m", "rho_g_cm3": 2.9, "crystal_system": "cubic", "volume_a3_per_atom": 34.90}

***

Least stable: run x